DFT (PBE) results for a relaxed TiZn2Ni crystal.

a = 7.033 Å, b = 7.033 Å, c = 5.550 Å
α = 50.68°, β = 50.68°, γ = 90.00°
Fractional positions:
Ni (0.000, 0.000, 0.000)
Ni (0.750, 0.250, 0.500)
Zn (0.661, 0.125, 0.250)
Zn (0.089, 0.625, 0.250)
Zn (0.375, 0.339, 0.750)
Zn (0.875, 0.911, 0.750)
Ti (0.500, 0.500, 0.000)
Ti (0.250, 0.750, 0.500)

The crystal system is tetragonal.

---

DFT (PBE) results for a relaxed TiZn4Ni crystal.

a = 6.678 Å, b = 5.305 Å, c = 7.768 Å
α = 109.96°, β = 134.96°, γ = 90.00°
Fractional positions:
Ti (0.979, 0.164, 0.327)
Ti (0.021, 0.836, 0.673)
Zn (0.538, 0.258, 0.517)
Zn (0.527, 0.352, 0.192)
Zn (0.000, 0.247, 0.000)
Zn (0.473, 0.160, 0.808)
Zn (0.462, 0.742, 0.483)
Zn (0.473, 0.648, 0.808)
Zn (0.000, 0.753, 0.000)
Zn (0.527, 0.840, 0.192)
Ni (0.946, 0.640, 0.280)
Ni (0.054, 0.360, 0.720)

The crystal system is monoclinic. As for the energy relative to the lowest polymorph listed for this composition: 0.000 eV per atom.

---

DFT (PBE) results for a relaxed TiZnNi2 crystal.

a = 6.559 Å, b = 6.559 Å, c = 5.321 Å
α = 51.95°, β = 51.95°, γ = 90.00°
Fractional positions:
Ni (0.618, 0.125, 0.250)
Ni (0.132, 0.625, 0.250)
Ni (0.375, 0.382, 0.750)
Ni (0.875, 0.868, 0.750)
Zn (0.000, 0.000, 0.000)
Zn (0.750, 0.250, 0.500)
Ti (0.500, 0.500, 0.000)
Ti (0.250, 0.750, 0.500)

The crystal system is tetragonal.

---

| no. | DFT formation energy (meV/atom) |
| --- | --- |
| 1 | 128 |
| 2 | -160 |
| 3 | 88 |